1.
KMoPd | GGA-PBE | optimized geometry

Lattice parameters (Å, degrees): 6.9339 6.9339 6.9339 90.00 90.00 90.00
With the nearest neighbours (Å) after each atom.
Element x y z (fractional)
K 0.0000 0.0000 0.0000  4 Pd 3.00
K 0.0000 0.5000 0.5000  4 Pd 3.00
K 0.5000 0.0000 0.5000  4 Pd 3.00
K 0.5000 0.5000 0.0000  4 Pd 3.00
Mo 0.0000 0.0000 0.5000  4 Pd 3.00
Mo 0.0000 0.5000 0.0000  4 Pd 3.00
Mo 0.5000 0.0000 0.0000  4 Pd 3.00
Mo 0.5000 0.5000 0.5000  4 Pd 3.00
Pd 0.2500 0.2500 0.2500  4 Mo 3.00, 4 K 3.00
Pd 0.2500 0.7500 0.7500  4 Mo 3.00, 4 K 3.00
Pd 0.7500 0.2500 0.7500  4 Mo 3.00, 4 K 3.00
Pd 0.7500 0.7500 0.2500  4 Mo 3.00, 4 K 3.00

Output
Total magnetic moment (μB/cell): 18.9
Crystal system: cubic
E above lowest polymorph (meV/atom): 0

---

2.
Cu | GGA-PBE | optimized geometry

Lattice parameters (Å, degrees): 3.4894 8.0699 3.5811 90.00 90.00 90.00
With the nearest neighbours (Å) after each atom.
Element x y z (fractional)
Cu 0.0000 0.1428 0.0009  9 Cu 2.30-2.50
Cu 0.0000 0.3572 0.5009  9 Cu 2.30-2.50
Cu 0.0000 0.6428 0.4991  9 Cu 2.30-2.50
Cu 0.0000 0.8572 0.9991  9 Cu 2.30-2.50
Cu 0.5000 0.1428 0.4991  9 Cu 2.30-2.50
Cu 0.5000 0.3572 0.9991  9 Cu 2.30-2.50
Cu 0.5000 0.6428 0.0009  9 Cu 2.30-2.50
Cu 0.5000 0.8572 0.5009  9 Cu 2.30-2.50

Output
Crystal system: orthorhombic
E_form (meV per atom): 279
E above lowest polymorph (meV/atom): 279

---

3.
CdNiGeTe3 | GGA-PBE | optimized geometry

Lattice parameters (Å, degrees): 7.8681 7.8681 10.3703 90.00 90.00 151.84
With the nearest neighbours (Å) after each atom.
Element x y z (fractional)
Cd 0.0000 0.0000 0.0000  6 Te 2.88-3.14
Cd 0.0000 0.0000 0.5000  6 Te 2.88-3.14
Ni 0.4694 0.5306 0.7500  4 Te 2.57-2.62
Ni 0.5306 0.4694 0.2500  4 Te 2.57-2.62
Ge 0.2370 0.7630 0.2500  4 Te 2.92
Ge 0.7630 0.2370 0.7500  4 Te 2.92
Te 0.0820 0.9180 0.7500  2 Ni 2.57, 2 Cd 2.88
Te 0.3453 0.6547 0.5758  1 Ni 2.62, 2 Ge 2.92
Te 0.3453 0.6547 0.9242  1 Ni 2.62, 2 Ge 2.92
Te 0.6547 0.3453 0.0758  1 Ni 2.62, 2 Ge 2.92
Te 0.6547 0.3453 0.4242  1 Ni 2.62, 2 Ge 2.92
Te 0.9180 0.0820 0.2500  2 Ni 2.57, 2 Cd 2.88

Output
Total magnetic moment (μB/cell): 0.0
Crystal system: orthorhombic
E above lowest polymorph (meV/atom): 0